ZrNiIr2 after structural relaxation, computed with GGA-PBE.

Structure (CIF):
```
data_ZrNiIr2
_cell_length_a 6.2945
_cell_length_b 6.2945
_cell_length_c 6.2945
_cell_angle_alpha 90.00
_cell_angle_beta 90.00
_cell_angle_gamma 90.00
_symmetry_space_group_name_H-M 'F -4 3 m'
_symmetry_Int_Tables_number 216
_symmetry_space_group_name_Hall 'F -4 2 3'
loop_
_atom_site_label
_atom_site_fract_x
_atom_site_fract_y
_atom_site_fract_z
Zr1 0.0000 0.0000 0.0000
Ni1 0.2500 0.2500 0.2500
Ir1 0.0000 0.0000 0.5000
Ir2 0.2500 0.2500 0.7500
```

Computed properties:
Formation energy from the elements ... -201 meV/atom